Mo2Ir | the Alexandria database | PBE-GGA | relaxed; Fermi-level density of states = 1.61 states/eV per atom; calculated formation energy = 0.76 eV/atom
1.0
-0.076 -0.862 -4.445
4.366 -1.192 0.157
-0.721 -2.571 0.511
Ir Mo
1 2
Direct
0.000 0.000 0.000
0.000 0.500 0.500
0.500 0.000 0.500


Mo2Ir | the Alexandria database | PBE-GGA | relaxed; Fermi-level density of states = 0.94 states/eV per atom; calculated formation energy = -0.15 eV/atom
1.0
-6.018 7.343 -1.880
-3.016 -4.522 -8.007
-3.567 -2.253 2.616
Ir Mo
10 20
Direct
0.000 0.000 0.000
0.500 0.500 0.500
0.068 0.264 0.000
0.932 0.736 0.000
0.236 0.568 0.500
0.764 0.432 0.500
0.432 0.764 0.500
0.568 0.236 0.500
0.264 0.068 0.000
0.736 0.932 0.000
0.395 0.605 0.000
0.605 0.395 0.000
0.895 0.895 0.500
0.105 0.105 0.500
0.128 0.539 0.000
0.872 0.461 0.000
0.961 0.628 0.500
0.039 0.372 0.500
0.372 0.039 0.500
0.628 0.961 0.500
0.539 0.128 0.000
0.461 0.872 0.000
0.319 0.319 0.250
0.681 0.681 0.250
0.181 0.819 0.750
0.819 0.181 0.750
0.181 0.819 0.250
0.819 0.181 0.250
0.319 0.319 0.750
0.681 0.681 0.750


Mo2Ir | the Alexandria database | PBE-GGA | relaxed; Fermi-level density of states = 1.14 states/eV per atom; calculated formation energy = -0.04 eV/atom
1.0
-0.239 2.467 3.669
-3.228 0.209 -3.023
-2.665 -4.073 2.565
Mo Ir
4 2
Direct
0.000 0.000 0.000
0.000 0.000 0.500
0.333 0.667 0.750
0.667 0.333 0.250
0.333 0.667 0.250
0.667 0.333 0.750


MoIr | the Alexandria database | PBE-GGA | relaxed; Fermi-level density of states = 1.17 states/eV per atom; calculated formation energy = 0.45 eV/atom
1.0
3.907 0.000 0.000
-1.953 3.383 0.000
0.000 0.000 5.339
Ir Mo
2 2
Direct
0.000 0.000 0.000
0.000 0.000 0.500
0.333 0.667 0.250
0.667 0.333 0.750


Mo4Ir | the Alexandria database | PBE-GGA | relaxed; Fermi-level density of states = 0.84 states/eV per atom; calculated formation energy = 1.80 eV/atom
1.0
4.688 0.000 0.000
0.000 4.688 0.000
0.000 0.000 4.688
Mo Ir
4 1
Direct
0.000 0.000 0.000
0.500 0.000 0.500
0.000 0.500 0.500
0.500 0.500 0.000
0.500 0.500 0.500


MoIr | the Alexandria database | PBE-GGA | relaxed; Fermi-level density of states = 0.82 states/eV per atom; calculated formation energy = -0.23 eV/atom
1.0
-0.494 2.098 1.740
2.176 -3.796 2.990
6.407 1.518 -0.010
Ir Mo
3 3
Direct
0.004 0.009 0.999
0.391 0.781 0.724
0.329 0.658 0.335
0.669 0.337 0.670
0.046 0.093 0.386
0.728 0.455 0.053


MoIr5 | the Alexandria database | PBE-GGA | relaxed; Fermi-level density of states = 0.74 states/eV per atom; calculated formation energy = -0.19 eV/atom
1.0
-4.755 0.510 0.440
1.899 -4.367 -0.617
0.354 -0.464 4.370
Ir Mo
5 1
Direct
0.995 0.000 0.000
0.672 0.338 0.000
0.333 0.662 0.000
0.000 0.333 0.500
0.667 0.667 0.500
0.333 0.000 0.500


MoIr | the Alexandria database | PBE-GGA | relaxed; Fermi-level density of states = 0.68 states/eV per atom; calculated formation energy = -0.03 eV/atom
1.0
-0.106 -1.292 2.431
0.804 -7.581 -5.554
2.298 -0.340 1.481
Ir Mo
2 2
Direct
0.001 0.004 0.001
0.249 0.746 0.249
0.503 0.510 0.503
0.747 0.240 0.747


MoIr | the Alexandria database | PBE-GGA | relaxed; Fermi-level density of states = 0.95 states/eV per atom; calculated formation energy = -0.21 eV/atom
1.0
-1.663 2.191 0.392
-10.037 -6.444 -6.551
-1.508 -1.890 4.169
Mo Ir
6 6
Direct
0.500 0.830 0.703
0.500 0.170 0.703
0.500 0.330 0.203
0.500 0.670 0.203
0.500 0.000 0.367
0.500 0.500 0.867
0.000 0.344 0.691
0.000 0.656 0.691
0.000 0.844 0.191
0.000 0.156 0.191
0.000 0.000 0.848
0.000 0.500 0.348


Mo2Ir | the Alexandria database | PBE-GGA | relaxed; Fermi-level density of states = 0.77 states/eV per atom; calculated formation energy = -0.13 eV/atom
1.0
1.366 5.204 -0.008
-1.366 5.204 -0.008
0.000 1.595 6.486
Mo Ir
4 2
Direct
0.368 0.368 0.524
0.689 0.689 0.864
0.311 0.311 0.136
0.632 0.632 0.476
0.971 0.971 0.806
0.029 0.029 0.194


Mo5Ir3 | the Alexandria database | PBE-GGA | relaxed; Fermi-level density of states = 0.97 states/eV per atom; calculated formation energy = -0.04 eV/atom
1.0
-3.182 3.782 -0.531
-6.062 -1.288 3.893
4.851 1.164 6.105
Mo Ir
10 6
Direct
0.748 0.500 0.499
0.253 0.500 0.502
0.220 0.844 0.294
0.781 0.156 0.707
0.327 0.302 0.840
0.674 0.698 0.161
0.437 0.844 0.707
0.564 0.156 0.294
0.872 0.302 0.161
0.129 0.698 0.840
0.235 0.031 0.000
0.766 0.969 0.000
0.750 0.500 0.857
0.251 0.500 0.144
0.824 0.853 0.500
0.177 0.147 0.500


Mo2Ir | the Alexandria database | PBE-GGA | relaxed; Fermi-level density of states = 0.77 states/eV per atom; calculated formation energy = -0.10 eV/atom
1.0
-3.761 1.690 4.870
1.262 -4.683 -4.146
2.529 -1.512 2.478
Mo Ir
4 2
Direct
0.575 0.425 0.250
0.425 0.575 0.750
0.253 0.747 0.250
0.747 0.253 0.750
0.919 0.081 0.250
0.081 0.919 0.750


> Among the records above, which one has the highest calculated formation energy?

Mo4Ir


> Which value of calculated formation energy does entry 7 give?

-0.19 eV/atom


> calculated formation energy of number 9 (MoIr)?

-0.21 eV/atom